# 1
# Tb2ThAl

Tb2ThAl after structural relaxation (GGA-PBE, the Alexandria database).

Values from the calculation:
VASP energy = -5.285 eV per atom
Offset from the most stable computed form = 0.000 eV/atom

Cell and atoms, written as POSCAR:
```
Tb2ThAl
1.0
3.542 0.000 0.000
0.000 3.542 0.000
0.000 0.000 8.856
Tb Th Al
2 1 1
direct
0.000 0.000 0.218 Tb
0.000 0.000 0.782 Tb
0.500 0.500 0.500 Th
0.500 0.500 0.000 Al
```



# 2
# TiV2Ru

TiV2Ru after structural relaxation (GGA-PBE, the Alexandria database).

Values from the calculation:
VASP energy = -9.212 eV per atom

Cell and atoms, written as POSCAR:
```
TiV2Ru
1.0
-1.512 2.092 4.468
1.512 -2.092 4.468
1.512 2.092 -4.468
Ti V Ru
1 2 1
direct
0.000 0.000 0.000 Ti
0.258 0.758 0.500 V
0.742 0.242 0.500 V
0.500 0.500 0.000 Ru
```



# 3
# Pm3DySn12

Pm3DySn12 after structural relaxation (GGA-PBE, the Alexandria database).

Values from the calculation:
VASP energy = -4.657 eV per atom

Cell and atoms, written as POSCAR:
```
Pm3DySn12
1.0
4.768 0.000 0.000
0.000 4.768 0.000
0.000 0.000 18.808
Pm Dy Sn
3 1 12
direct
0.000 0.000 0.000 Pm
0.000 0.000 0.251 Pm
0.000 0.000 0.749 Pm
0.000 0.000 0.500 Dy
0.000 0.500 0.126 Sn
0.000 0.500 0.378 Sn
0.000 0.500 0.622 Sn
0.000 0.500 0.874 Sn
0.500 0.000 0.126 Sn
0.500 0.000 0.378 Sn
0.500 0.000 0.622 Sn
0.500 0.000 0.874 Sn
0.500 0.500 0.000 Sn
0.500 0.500 0.252 Sn
0.500 0.500 0.500 Sn
0.500 0.500 0.748 Sn
```



| no. | formation energy from the elements (eV per atom) |
| --- | --- |
| 1 | -0.18 |
| 2 | -0.36 |
| 3 | -0.48 |